1.
Compound: Y4Bi8Rh3
Source: the Alexandria database
Functional: PBE-GGA
Structure: relaxed

a = 4.610 Å, b = 4.610 Å, c = 18.775 Å
α = 90.00°, β = 90.00°, γ = 90.00°
Atoms (fractional coordinates):
Y 0.500 0.000 0.388
Y 0.000 0.500 0.612
Y 0.500 0.000 0.891
Y 0.000 0.500 0.109
Rh 0.000 0.000 0.500
Rh 0.000 0.000 0.000
Rh 0.500 0.500 0.500
Bi 0.000 0.500 0.415
Bi 0.000 0.000 0.248
Bi 0.500 0.500 0.753
Bi 0.000 0.000 0.752
Bi 0.000 0.500 0.924
Bi 0.500 0.000 0.076
Bi 0.500 0.500 0.247
Bi 0.500 0.000 0.585

Results
For the size of the total moment, the calculation gives 0.0 μB/f.u. The value obtained for the total energy is -5.82 eV/atom.

***

2.
Compound: AcPa2PN5
Source: the Alexandria database
Functional: PBE-GGA
Structure: relaxed

a = 5.528 Å, b = 6.673 Å, c = 6.673 Å
α = 90.00°, β = 90.00°, γ = 90.00°
Atoms (fractional coordinates):
Ac 0.000 0.500 0.500
Ac 0.000 0.000 0.000
N 0.759 0.637 0.863
N 0.759 0.863 0.363
N 0.241 0.637 0.863
N 0.241 0.863 0.363
N 0.241 0.137 0.637
N 0.759 0.137 0.637
N 0.500 0.500 0.500
N 0.241 0.363 0.137
N 0.500 0.000 0.000
N 0.759 0.363 0.137
P 0.000 0.500 0.000
P 0.000 0.000 0.500
Pa 0.500 0.823 0.677
Pa 0.500 0.323 0.823
Pa 0.500 0.677 0.177
Pa 0.500 0.177 0.323

Results
For the size of the total moment, the calculation gives 0.0 μB/f.u. The value obtained for the total energy is -8.94 eV/atom. For the formation energy without anion corrections, the calculation gives -1.149 eV per atom.